Record 1
{
  "formula": "Na5In5Ag2",
  "functional": "PBE",
  "state": "relaxed",
  "cell": [[4.6512, 0.0000, 1.5014], [1.6236, 9.1449, 2.9253], [0.2983, 0.0055, 7.0310]],
  "species": ["Na", "Na", "Na", "Na", "Na", "In", "In", "In", "In", "In", "Ag", "Ag"],
  "fractional_positions": [[0.5000, 0.5000, 0.5000], [0.4084, 0.2630, 0.9202], [0.3351, 0.9923, 0.3376], [0.6649, 0.0077, 0.6624], [0.5916, 0.7370, 0.0798], [0.9177, 0.7248, 0.4398], [0.2525, 0.7291, 0.7658], [0.7475, 0.2709, 0.2342], [0.0823, 0.2752, 0.5602], [0.0000, 0.0000, 0.0000], [0.8318, 0.4935, 0.8428], [0.1682, 0.5065, 0.1572]],
  "energy_ha_per_atom": -0.08265,
  "spacegroup": "C2/m"
}

---

Record 2
{
  "formula": "Na12InAg2",
  "functional": "PBE",
  "state": "relaxed",
  "cell": [[-2.6115, -4.1757, 4.2621], [2.5695, -4.9860, -3.3106], [21.1186, 1.3883, 14.3001]],
  "species": ["Na", "Na", "Na", "Na", "Na", "Na", "Na", "Na", "Na", "Na", "Na", "Na", "Na", "Na", "Na", "Na", "Na", "Na", "Na", "Na", "Na", "Na", "Na", "Na", "In", "In", "Ag", "Ag", "Ag", "Ag"],
  "fractional_positions": [[0.5000, 0.5000, 0.8018], [0.0000, 0.0000, 0.8018], [0.7500, 0.7500, 0.9099], [0.2500, 0.7500, 0.9099], [0.0000, 0.0000, 0.3276], [0.2500, 0.7500, 0.0901], [0.8172, 0.3172, 0.5638], [0.5000, 0.5000, 0.3276], [0.2500, 0.2500, 0.9099], [0.7500, 0.7500, 0.0901], [0.3172, 0.1828, 0.5638], [0.6828, 0.1828, 0.4362], [0.0000, 0.0000, 0.6724], [0.1828, 0.3172, 0.4362], [0.2500, 0.2500, 0.0901], [0.8172, 0.6828, 0.4362], [0.6828, 0.8172, 0.5638], [0.0000, 0.0000, 0.1982], [0.1828, 0.6828, 0.5638], [0.5000, 0.5000, 0.6724], [0.7500, 0.2500, 0.9099], [0.5000, 0.5000, 0.1982], [0.3172, 0.8172, 0.4362], [0.7500, 0.2500, 0.0901], [0.5000, 0.0000, 0.0000], [0.0000, 0.5000, 0.0000], [0.5000, 0.0000, 0.1786], [0.0000, 0.5000, 0.1786], [0.0000, 0.5000, 0.8214], [0.5000, 0.0000, 0.8214]],
  "energy_ha_per_atom": -0.05448,
  "spacegroup": "P4/nbm"
}

---

Record 3
{
  "formula": "Na5InAg",
  "functional": "PBE",
  "state": "relaxed",
  "cell": [[-5.4922, 0.4905, -2.7522], [1.4588, -4.8343, -3.5329], [-3.1011, -5.4257, 9.3954]],
  "species": ["Na", "Na", "Na", "Na", "Na", "Na", "Na", "Na", "Na", "Na", "In", "In", "Ag", "Ag"],
  "fractional_positions": [[0.0126, 0.5881, 0.1621], [0.2430, 0.5056, 0.4758], [0.5881, 0.0126, 0.6621], [0.8585, 0.1415, 0.2500], [0.4944, 0.7570, 0.0242], [0.5056, 0.2430, 0.9758], [0.1415, 0.8585, 0.7500], [0.4119, 0.9874, 0.3379], [0.7570, 0.4944, 0.5242], [0.9874, 0.4119, 0.8379], [0.0000, 0.0000, 0.0000], [0.0000, 0.0000, 0.5000], [0.5104, 0.4896, 0.2500], [0.4896, 0.5104, 0.7500]],
  "energy_ha_per_atom": -0.06314,
  "spacegroup": "C2/c"
}

---

Record 4
{
  "formula": "Na2In3Ag5",
  "functional": "PBE",
  "state": "relaxed",
  "cell": [[5.9833, -0.0183, -0.2680], [-0.5010, 8.2076, -2.6151], [-0.0222, 0.0543, 8.6286]],
  "species": ["Na", "Na", "Na", "Na", "In", "In", "In", "In", "In", "In", "Ag", "Ag", "Ag", "Ag", "Ag", "Ag", "Ag", "Ag", "Ag", "Ag"],
  "fractional_positions": [[0.8842, 0.6228, 0.1302], [0.3842, 0.1302, 0.6228], [0.1158, 0.3772, 0.8698], [0.6158, 0.8698, 0.3772], [0.6148, 0.4895, 0.7813], [0.1148, 0.7813, 0.4895], [0.3852, 0.5105, 0.2187], [0.8852, 0.2187, 0.5105], [0.2500, 0.0419, 0.9581], [0.7500, 0.9581, 0.0419], [0.6344, 0.2691, 0.9720], [0.1344, 0.9720, 0.2691], [0.3656, 0.7309, 0.0280], [0.8656, 0.0280, 0.7309], [0.9974, 0.7109, 0.7880], [0.0026, 0.2891, 0.2120], [0.7500, 0.5362, 0.4638], [0.2500, 0.4638, 0.5362], [0.5026, 0.2120, 0.2891], [0.4974, 0.7880, 0.7109]],
  "energy_ha_per_atom": -0.09378,
  "spacegroup": "C2/c"
}

---

Record 5
{
  "formula": "NaIn2Ag",
  "functional": "PBE",
  "state": "relaxed",
  "cell": [[1.1631, 2.8518, 4.0051], [1.5386, 4.7676, -0.6549], [-3.0111, 3.8319, 1.3327]],
  "species": ["Na", "Ag", "In", "In"],
  "fractional_positions": [[0.0000, 0.0000, 0.0000], [0.5000, 0.5000, 0.5000], [0.2500, 0.2500, 0.2500], [0.7500, 0.7500, 0.7500]],
  "energy_ha_per_atom": -0.09032,
  "spacegroup": "Fm-3m"
}

---

Record 6
{
  "formula": "Na3In9Ag2",
  "functional": "PBE",
  "state": "relaxed",
  "cell": [[4.8532, 0.0000, 1.3036], [1.9592, 8.3463, 2.3922], [0.2120, -0.1367, 8.8971]],
  "species": ["Na", "Na", "Na", "In", "In", "In", "In", "In", "In", "In", "In", "In", "Ag", "Ag"],
  "fractional_positions": [[0.0000, 0.0000, 0.0000], [0.7164, 0.2836, 0.2836], [0.2836, 0.7164, 0.7164], [0.0000, 0.5000, 0.5000], [0.6264, 0.0090, 0.7381], [0.3736, 0.9910, 0.2619], [0.6264, 0.7381, 0.0090], [0.3736, 0.2619, 0.9910], [0.8508, 0.8650, 0.4333], [0.1492, 0.1350, 0.5667], [0.8508, 0.4333, 0.8650], [0.1492, 0.5667, 0.1350], [0.5000, 0.3609, 0.6391], [0.5000, 0.6391, 0.3609]],
  "energy_ha_per_atom": -0.09314,
  "spacegroup": "Immm"
}

---

Record 7
{
  "formula": "NaIn6Ag4",
  "functional": "PBE",
  "state": "relaxed",
  "cell": [[-1.1035, 0.9118, 7.1920], [-0.7729, -6.5916, -3.1190], [6.7508, 0.3408, -2.8435]],
  "species": ["Na", "In", "In", "In", "In", "In", "In", "Ag", "Ag", "Ag", "Ag"],
  "fractional_positions": [[0.0000, 0.0000, 0.0000], [0.0000, 0.8911, 0.5368], [0.0000, 0.5368, 0.8911], [0.6457, 0.1089, 0.1089], [0.5000, 0.0000, 0.5000], [0.3543, 0.4632, 0.4632], [0.5000, 0.5000, 0.0000], [0.0000, 0.2554, 0.5975], [0.6579, 0.4025, 0.4025], [0.0000, 0.5975, 0.2554], [0.3421, 0.7446, 0.7446]],
  "energy_ha_per_atom": -0.09702,
  "spacegroup": "I-42m"
}

---

Record 8
{
  "formula": "NaIn4Ag6",
  "functional": "PBE",
  "state": "relaxed",
  "cell": [[-2.8125, -5.9756, 3.0940], [-0.5768, 1.3427, -7.1453], [7.1749, 0.9047, -0.9448]],
  "species": ["Na", "In", "In", "In", "In", "Ag", "Ag", "Ag", "Ag", "Ag", "Ag"],
  "fractional_positions": [[0.0000, 0.0000, 0.0000], [0.0000, 0.0972, 0.5317], [0.5654, 0.4683, 0.4683], [0.0000, 0.5317, 0.0972], [0.4346, 0.9028, 0.9028], [0.0000, 0.7484, 0.4237], [0.0000, 0.4237, 0.7484], [0.6754, 0.2516, 0.2516], [0.5000, 0.0000, 0.5000], [0.3246, 0.5763, 0.5763], [0.5000, 0.5000, 0.0000]],
  "energy_ha_per_atom": -0.09644,
  "spacegroup": "I-42m"
}

---

Record 9
{
  "formula": "Na2In3Ag",
  "functional": "PBE",
  "state": "relaxed",
  "cell": [[-4.4964, -2.0749, 3.1142], [-1.4993, -5.5310, -5.8499], [5.1163, -1.9450, 6.0911]],
  "species": ["Na", "Na", "Na", "Na", "In", "In", "In", "In", "In", "In", "Ag", "Ag"],
  "fractional_positions": [[0.7500, 0.4736, 0.7470], [0.2500, 0.2530, 0.5264], [0.2500, 0.5264, 0.2530], [0.7500, 0.7470, 0.4736], [0.0000, 0.1637, 0.8363], [0.5000, 0.1637, 0.8363], [0.2500, 0.7474, 0.7474], [0.7500, 0.2526, 0.2526], [0.5000, 0.8363, 0.1637], [0.0000, 0.8363, 0.1637], [0.2500, 0.1206, 0.1206], [0.7500, 0.8794, 0.8794]],
  "energy_ha_per_atom": -0.08421,
  "spacegroup": "Cmcm"
}

---

Record 10
{
  "formula": "Na3In2Ag5",
  "functional": "PBE",
  "state": "relaxed",
  "cell": [[-0.4603, -3.2392, -4.8474], [7.2626, -1.0065, -0.0058], [-4.6099, -6.6342, 8.3931]],
  "species": ["Na", "Na", "Na", "Na", "Na", "Na", "In", "In", "In", "In", "Ag", "Ag", "Ag", "Ag", "Ag", "Ag", "Ag", "Ag", "Ag", "Ag"],
  "fractional_positions": [[0.7278, 0.8841, 0.4556], [0.2278, 0.5715, 0.4556], [0.2722, 0.1159, 0.5444], [0.7722, 0.4285, 0.5444], [0.7501, 0.0001, 0.0001], [0.2499, 0.9999, 0.9999], [0.8922, 0.2076, 0.7834], [0.3912, 0.5758, 0.7834], [0.1078, 0.7924, 0.2166], [0.6088, 0.4242, 0.2166], [0.5891, 0.8063, 0.1792], [0.0901, 0.3730, 0.1792], [0.4109, 0.1937, 0.8208], [0.9099, 0.6270, 0.8208], [0.5988, 0.8488, 0.6977], [0.4012, 0.1512, 0.3023], [0.2499, 0.4999, 0.9998], [0.7501, 0.5001, 0.0002], [0.9013, 0.1513, 0.3027], [0.0987, 0.8487, 0.6973]],
  "energy_ha_per_atom": -0.08906,
  "spacegroup": "C2/c"
}

---

Record 11
{
  "formula": "Na2In2Ag",
  "functional": "PBE",
  "state": "relaxed",
  "cell": [[4.0942, 0.0000, 0.0000], [0.0000, 4.0942, 0.0000], [2.0471, 2.0471, 7.7925]],
  "species": ["Na", "Na", "Ag", "In", "In"],
  "fractional_positions": [[0.7500, 0.2500, 0.5000], [0.2500, 0.7500, 0.5000], [0.0000, 0.0000, 0.0000], [0.4093, 0.4093, 0.1815], [0.5907, 0.5907, 0.8185]],
  "energy_ha_per_atom": -0.07542,
  "spacegroup": "I4/mmm"
}

---

Record 12
{
  "formula": "NaIn5Ag2",
  "functional": "PBE",
  "state": "relaxed",
  "cell": [[4.1296, 0.0000, 0.0000], [2.0648, 7.1421, 0.2423], [2.0648, 1.5503, 6.9761]],
  "species": ["Na", "In", "In", "In", "In", "In", "Ag", "Ag"],
  "fractional_positions": [[0.0000, 0.0000, 0.0000], [0.0000, 0.5000, 0.5000], [0.6426, 0.5611, 0.1537], [0.3574, 0.4389, 0.8463], [0.3574, 0.8463, 0.4389], [0.6426, 0.1537, 0.5611], [0.7406, 0.7594, 0.7594], [0.2594, 0.2406, 0.2406]],
  "energy_ha_per_atom": -0.09644,
  "spacegroup": "Immm"
}

---

Record 13
{
  "formula": "Na2InAg3",
  "functional": "PBE",
  "state": "relaxed",
  "cell": [[-1.8891, -4.1693, -3.6278], [1.3327, -1.2904, 5.5382], [-3.4861, 4.1104, 1.8940]],
  "species": ["Na", "Na", "In", "Ag", "Ag", "Ag"],
  "fractional_positions": [[0.7521, 0.3757, 0.1277], [0.2479, 0.6243, 0.8723], [0.0000, 0.0000, 0.0000], [0.5000, 0.5000, 0.5000], [0.0000, 0.0000, 0.5000], [0.5000, 0.0000, 0.5000]],
  "energy_ha_per_atom": -0.08933,
  "spacegroup": "C2/m"
}

---

Record 14
{
  "formula": "NaIn2Ag",
  "functional": "PBE",
  "state": "relaxed",
  "cell": [[5.8097, 0.0000, 0.0000], [0.0000, 8.1477, 0.0000], [0.0000, 0.0000, 16.6577]],
  "species": ["Na", "Na", "Na", "Na", "Na", "Na", "Na", "Na", "In", "In", "In", "In", "In", "In", "In", "In", "In", "In", "In", "In", "In", "In", "In", "In", "Ag", "Ag", "Ag", "Ag", "Ag", "Ag", "Ag", "Ag"],
  "fractional_positions": [[0.4540, 0.2500, 0.1421], [0.9540, 0.7500, 0.3579], [0.5460, 0.7500, 0.8579], [0.0460, 0.2500, 0.6421], [0.7307, 0.2500, 0.3905], [0.2307, 0.7500, 0.1095], [0.2693, 0.7500, 0.6095], [0.7693, 0.2500, 0.8905], [0.9355, 0.0538, 0.2151], [0.4355, 0.9462, 0.2849], [0.0645, 0.5538, 0.7849], [0.5645, 0.4462, 0.7151], [0.0645, 0.9462, 0.7849], [0.5645, 0.0538, 0.7151], [0.9355, 0.4462, 0.2151], [0.4355, 0.5538, 0.2849], [0.7356, 0.5546, 0.0317], [0.2356, 0.4454, 0.4683], [0.2644, 0.0546, 0.9683], [0.7644, 0.9454, 0.5317], [0.2644, 0.4454, 0.9683], [0.7644, 0.5546, 0.5317], [0.7356, 0.9454, 0.0317], [0.2356, 0.0546, 0.4683], [0.2206, 0.2500, 0.3211], [0.7206, 0.7500, 0.1789], [0.7794, 0.7500, 0.6789], [0.2794, 0.2500, 0.8211], [0.9640, 0.2500, 0.0707], [0.4640, 0.7500, 0.4293], [0.0360, 0.7500, 0.9293], [0.5360, 0.2500, 0.5707]],
  "energy_ha_per_atom": -0.09298,
  "spacegroup": "Pnma"
}

---

Record 15
{
  "formula": "Na2InAg3",
  "functional": "PBE",
  "state": "relaxed",
  "cell": [[5.7900, 0.0000, 0.0000], [-2.8950, 5.0143, 0.0000], [0.0000, 0.0000, 9.3816]],
  "species": ["Na", "Na", "Na", "Na", "In", "In", "Ag", "Ag", "Ag", "Ag", "Ag", "Ag"],
  "fractional_positions": [[0.6667, 0.3333, 0.4355], [0.3333, 0.6667, 0.5645], [0.3333, 0.6667, 0.9355], [0.6667, 0.3333, 0.0645], [0.0000, 0.0000, 0.5000], [0.0000, 0.0000, 0.0000], [0.1707, 0.3413, 0.2500], [0.3413, 0.1707, 0.7500], [0.8293, 0.6587, 0.7500], [0.1707, 0.8293, 0.2500], [0.8293, 0.1707, 0.7500], [0.6587, 0.8293, 0.2500]],
  "energy_ha_per_atom": -0.08860,
  "spacegroup": "P6_3/mmc"
}

---

Record 16
{
  "formula": "NaIn8Ag6",
  "functional": "PBE",
  "state": "relaxed",
  "cell": [[6.9253, -0.1294, 2.8772], [1.8723, 6.6687, 2.8772], [-0.1741, -0.1294, 7.4972]],
  "species": ["Na", "In", "In", "In", "In", "In", "In", "In", "In", "Ag", "Ag", "Ag", "Ag", "Ag", "Ag"],
  "fractional_positions": [[0.0000, 0.0000, 0.0000], [0.2057, 0.5541, 0.8785], [0.1215, 0.7943, 0.4459], [0.4459, 0.1215, 0.7943], [0.6472, 0.6472, 0.6472], [0.3528, 0.3528, 0.3528], [0.5541, 0.8785, 0.2057], [0.8785, 0.2057, 0.5541], [0.7943, 0.4459, 0.1215], [0.0372, 0.3933, 0.7127], [0.2873, 0.9628, 0.6067], [0.6067, 0.2873, 0.9628], [0.3933, 0.7127, 0.0372], [0.7127, 0.0372, 0.3933], [0.9628, 0.6067, 0.2873]],
  "energy_ha_per_atom": -0.09906,
  "spacegroup": "R-3"
}

---

Record 17
{
  "formula": "NaIn2Ag",
  "functional": "PBE",
  "state": "relaxed",
  "cell": [[3.3830, 0.0000, 0.0000], [1.6915, 2.9298, 0.0000], [1.6915, 0.9766, 9.8848]],
  "species": ["Na", "Ag", "In", "In"],
  "fractional_positions": [[0.5000, 0.5000, 0.5000], [0.0000, 0.0000, 0.0000], [0.2574, 0.2574, 0.2277], [0.7426, 0.7426, 0.7723]],
  "energy_ha_per_atom": -0.08948,
  "spacegroup": "R-3m"
}

---

Record 18
{
  "formula": "Na2In7Ag",
  "functional": "PBE",
  "state": "relaxed",
  "cell": [[7.8687, 0.0000, 0.0000], [3.9343, 6.8145, 0.0000], [3.9343, 2.2715, 6.4248]],
  "species": ["Na", "Na", "In", "In", "In", "In", "In", "In", "In", "Ag"],
  "fractional_positions": [[0.2500, 0.2500, 0.2500], [0.7500, 0.7500, 0.7500], [0.5000, 0.5000, 0.5000], [0.2433, 0.7567, 0.7567], [0.2433, 0.7567, 0.2433], [0.7567, 0.2433, 0.7567], [0.7567, 0.7567, 0.2433], [0.2433, 0.2433, 0.7567], [0.7567, 0.2433, 0.2433], [0.0000, 0.0000, 0.0000]],
  "energy_ha_per_atom": -0.08263,
  "spacegroup": "Fm-3m"
}

---

Record 19
{
  "formula": "Na4In4Ag",
  "functional": "PBE",
  "state": "relaxed",
  "cell": [[8.0595, 1.1097, 0.6059], [2.7187, 4.3780, 6.3243], [-5.0759, -6.2822, -1.1503]],
  "species": ["Na", "Na", "Na", "Na", "In", "In", "In", "In", "Ag"],
  "fractional_positions": [[0.3923, 0.7830, 0.0000], [0.7830, 0.3923, 0.0000], [0.2170, 0.2170, 0.6093], [0.6077, 0.6077, 0.3907], [0.0105, 0.6204, 0.0000], [0.6204, 0.0105, 0.0000], [0.3796, 0.3796, 0.3901], [0.9895, 0.9895, 0.6099], [0.0000, 0.0000, 0.0000]],
  "energy_ha_per_atom": -0.07778,
  "spacegroup": "I-42m"
}

---

Record 20
{
  "formula": "NaIn2Ag2",
  "functional": "PBE",
  "state": "relaxed",
  "cell": [[8.5489, 0.0000, 0.0000], [0.0000, 8.5489, 0.0000], [0.0000, 0.0000, 3.1035]],
  "species": ["Na", "Na", "Ag", "Ag", "Ag", "Ag", "In", "In", "In", "In"],
  "fractional_positions": [[0.0000, 0.0000, 0.0000], [0.5000, 0.5000, 0.0000], [0.3392, 0.8392, 0.0000], [0.8392, 0.6608, 0.0000], [0.6608, 0.1608, 0.0000], [0.1608, 0.3392, 0.0000], [0.1364, 0.6364, 0.5000], [0.6364, 0.8636, 0.5000], [0.8636, 0.3636, 0.5000], [0.3636, 0.1364, 0.5000]],
  "energy_ha_per_atom": -0.09426,
  "spacegroup": "P4/mbm"
}